Density functional theory data (PBE) for a geometry-optimized Pm2PrP structure.

Size of the total moment: 0.55 μB/f.u.
Calculated volume: 114 Å³ per cell
Energy of formation from the pure elements: -531 meV per atom
Energy relative to the lowest polymorph listed for this composition: 14.9 kJ/mol of atoms

Lattice parameters (Å, degrees): 3.7238 3.7238 8.2115 90.00 90.00 90.00
Space group P4/mmm (No. 123)
One atom of each set of equivalent atoms:
Pm: 0.0000 0.0000 0.1878 x2
Pr: 0.5000 0.5000 0.5000 x1
P: 0.5000 0.5000 0.0000 x1

***

Density functional theory data (PBE) for a geometry-optimized GdPaN structure.

ΔE_f (raw): -29 meV per atom
Size of the total moment: 7.94 μB/f.u.
Calculated volume: 222 Å³ per cell
Energy relative to the lowest polymorph listed for this composition: 77.6 kJ/mol of atoms

Lattice parameters (Å, degrees): 6.0548 6.0548 6.0548 90.00 90.00 90.00
Space group F-43m (No. 216)
One atom of each set of equivalent atoms:
Gd: 0.0000 0.0000 0.0000 x4
Pa: 0.0000 0.0000 0.5000 x4
N: 0.2500 0.2500 0.2500 x4

***

Density functional theory data (PBE) for a geometry-optimized Pr2HgAs structure.

Size of the total moment: 0.00 μB/f.u.
Calculated volume: 365 Å³ per cell
Energy of formation from the pure elements: -893 meV per atom
Energy relative to the lowest polymorph listed for this composition: 3.2 kJ/mol of atoms

Lattice parameters (Å, degrees): 4.2127 4.2127 23.7247 90.00 90.00 120.00
Space group R3m (No. 160, hexagonal axes)
One atom of each set of equivalent atoms:
Pr: 0.0000 0.0000 0.0000 x3
Pr: 0.0000 0.0000 0.1898 x3
Hg: 0.0000 0.0000 0.4276 x3
As: 0.0000 0.0000 0.5954 x3

***

Density functional theory data (PBE) for a geometry-optimized ScTc2Ir structure.

Size of the total moment: 0.42 μB/f.u.
Calculated volume: 249 Å³ per cell
Energy of formation from the pure elements: 22 meV per atom
Energy relative to the lowest polymorph listed for this composition: 20.7 kJ/mol of atoms

Lattice parameters (Å, degrees): 6.2948 6.2948 6.2948 90.00 90.00 90.00
Space group Fm-3m (No. 225)
One atom of each set of equivalent atoms:
Sc: 0.0000 0.0000 0.0000 x4
Tc: 0.2500 0.2500 0.2500 x8
Ir: 0.0000 0.0000 0.5000 x4

***

Density functional theory data (PBE) for a geometry-optimized SrPbSe2 structure.

ΔE_f (raw): -1304 meV per atom
Size of the total moment: 0.00 μB/f.u.
Calculated volume: 369 Å³ per cell

Lattice parameters (Å, degrees): 4.4278 4.4278 21.7430 90.00 90.00 120.00
Space group R-3m (No. 166, hexagonal axes)
One atom of each set of equivalent atoms:
Sr: 0.0000 0.0000 0.0000 x3
Pb: 0.0000 0.0000 0.5000 x3
Se: 0.0000 0.0000 0.2503 x6

***

Density functional theory data (PBE) for a geometry-optimized BaSrZn2 structure.

Size of the total moment: 0.00 μB/f.u.
Calculated volume: 310 Å³ per cell
Energy of formation from the pure elements: -22 meV per atom

Lattice parameters (Å, degrees): 8.2428 4.8080 8.3019 90.00 109.76 90.00
Space group C2/m (No. 12)
One atom of each set of equivalent atoms:
Ba: 0.0000 0.0000 0.0000 x2
Sr: 0.0000 0.5000 0.5000 x2
Zn: 0.2425 0.0000 0.7300 x4

***

Which of these has the lowest calculated volume?
Pm2PrP

***

Look up the calculated volume of the fourth one.
249 Å³ per cell

***

Please write out number 2 again, unchanged.
Density functional theory data (PBE) for a geometry-optimized GdPaN structure.

ΔE_f (raw): -29 meV per atom
Size of the total moment: 7.94 μB/f.u.
Calculated volume: 222 Å³ per cell
Energy relative to the lowest polymorph listed for this composition: 77.6 kJ/mol of atoms

Lattice parameters (Å, degrees): 6.0548 6.0548 6.0548 90.00 90.00 90.00
Space group F-43m (No. 216)
One atom of each set of equivalent atoms:
Gd: 0.0000 0.0000 0.0000 x4
Pa: 0.0000 0.0000 0.5000 x4
N: 0.2500 0.2500 0.2500 x4

***

Which formula does entry 2 have?
GdPaN